1.
# K2PbAu | Alexandria via LeMat-Bulk | GGA-PBE | relaxed
data_K2PbAu
_chemical_formula_sum 'K2 Pb1 Au1'
_symmetry_space_group_name_H-M 'P 1'
_symmetry_Int_Tables_number 1
_symmetry_space_group_name_Hall 'P 1'
_cell_length_a 4.465
_cell_length_b 4.330
_cell_length_c 6.899
_cell_angle_alpha 90.00
_cell_angle_beta 90.06
_cell_angle_gamma 90.00
loop_
_atom_site_label
_atom_site_type_symbol
_atom_site_fract_x
_atom_site_fract_y
_atom_site_fract_z
K1 K 0.001 0.000 0.268
K2 K 0.999 0.000 0.732
Pb1 Pb 0.500 0.500 0.000
Au1 Au 0.500 0.500 0.500
# Volume = 33.3 Å³ per atom
# Formation enthalpy at 0 K = -10.8 kJ/mol of atoms
# DOS at the Fermi energy = 0.513 states/eV/atom
# Density = 6.01 g/cm³



2.
# Pr6OsRh2 | Alexandria via LeMat-Bulk | GGA-PBE | relaxed
data_Pr6OsRh2
_chemical_formula_sum 'Pr12 Os2 Rh4'
_symmetry_space_group_name_H-M 'P 1'
_symmetry_Int_Tables_number 1
_symmetry_space_group_name_Hall 'P 1'
_cell_length_a 6.883
_cell_length_b 7.517
_cell_length_c 12.145
_cell_angle_alpha 90.00
_cell_angle_beta 121.55
_cell_angle_gamma 90.00
loop_
_atom_site_label
_atom_site_type_symbol
_atom_site_fract_x
_atom_site_fract_y
_atom_site_fract_z
Pr1 Pr 0.085 0.056 0.251
Pr2 Pr 0.085 0.444 0.751
Pr3 Pr 0.253 0.680 0.077
Pr4 Pr 0.253 0.820 0.577
Pr5 Pr 0.404 0.178 0.069
Pr6 Pr 0.404 0.322 0.569
Pr7 Pr 0.596 0.678 0.431
Pr8 Pr 0.596 0.822 0.931
Pr9 Pr 0.747 0.180 0.423
Pr10 Pr 0.747 0.320 0.923
Pr11 Pr 0.915 0.556 0.249
Pr12 Pr 0.915 0.944 0.749
Os1 Os 0.000 0.000 0.000
Os2 Os 0.000 0.500 0.500
Rh1 Rh 0.314 0.113 0.764
Rh2 Rh 0.314 0.387 0.264
Rh3 Rh 0.686 0.613 0.736
Rh4 Rh 0.686 0.887 0.236
# Volume = 29.8 Å³ per atom
# Formation enthalpy at 0 K = -30.2 kJ/mol of atoms
# DOS at the Fermi energy = 0.805 states/eV/atom
# Density = 7.70 g/cm³



3.
# SrPr2Nd3S6 | Alexandria via LeMat-Bulk | GGA-PBE | relaxed
data_SrPr2Nd3S6
_chemical_formula_sum 'Sr1 Pr2 Nd3 S6'
_symmetry_space_group_name_H-M 'P 1'
_symmetry_Int_Tables_number 1
_symmetry_space_group_name_Hall 'P 1'
_cell_length_a 7.115
_cell_length_b 7.115
_cell_length_c 7.117
_cell_angle_alpha 99.54
_cell_angle_beta 99.54
_cell_angle_gamma 120.04
loop_
_atom_site_label
_atom_site_type_symbol
_atom_site_fract_x
_atom_site_fract_y
_atom_site_fract_z
Sr1 Sr 0.000 0.000 0.000
Pr1 Pr 0.333 0.667 0.000
Pr2 Pr 0.667 0.333 0.000
Nd1 Nd 0.166 0.834 0.500
Nd2 Nd 0.500 0.500 0.500
Nd3 Nd 0.834 0.166 0.500
S1 S 0.085 0.419 0.255
S2 S 0.250 0.250 0.748
S3 S 0.419 0.085 0.255
S4 S 0.581 0.915 0.745
S5 S 0.750 0.750 0.252
S6 S 0.915 0.581 0.745
# Volume = 24.5 Å³ per atom
# Raw formation energy = -2.0262 eV per atom
# DOS at the Fermi energy = 0.462 states/eV/atom
# Density = 5.61 g/cm³



4.
# Ac2SeO | Alexandria via LeMat-Bulk | GGA-PBE | relaxed
data_Ac2SeO
_chemical_formula_sum 'Ac2 Se1 O1'
_symmetry_space_group_name_H-M 'P 1'
_symmetry_Int_Tables_number 1
_symmetry_space_group_name_Hall 'P 1'
_cell_length_a 3.588
_cell_length_b 3.588
_cell_length_c 7.267
_cell_angle_alpha 90.00
_cell_angle_beta 90.00
_cell_angle_gamma 90.00
loop_
_atom_site_label
_atom_site_type_symbol
_atom_site_fract_x
_atom_site_fract_y
_atom_site_fract_z
Ac1 Ac 0.000 0.000 0.233
Ac2 Ac 0.000 0.000 0.767
Se1 Se 0.500 0.500 0.500
O1 O 0.500 0.500 0.000
# Volume = 23.4 Å³ per atom
# Raw formation energy = -1.6095 eV per atom
# DOS at the Fermi energy = 0.670 states/eV/atom
# Density = 9.74 g/cm³
# Offset from the most stable computed form = 548 meV/atom



5.
# TbGdMgRu | Alexandria via LeMat-Bulk | GGA-PBE | relaxed
data_TbGdMgRu
_chemical_formula_sum 'Tb1 Gd1 Mg1 Ru1'
_symmetry_space_group_name_H-M 'P 1'
_symmetry_Int_Tables_number 1
_symmetry_space_group_name_Hall 'P 1'
_cell_length_a 5.053
_cell_length_b 5.053
_cell_length_c 5.053
_cell_angle_alpha 60.00
_cell_angle_beta 60.00
_cell_angle_gamma 60.00
loop_
_atom_site_label
_atom_site_type_symbol
_atom_site_fract_x
_atom_site_fract_y
_atom_site_fract_z
Tb1 Tb 0.000 0.000 0.000
Gd1 Gd 0.500 0.500 0.500
Mg1 Mg 0.750 0.750 0.750
Ru1 Ru 0.250 0.250 0.250
# Volume = 22.8 Å³ per atom
# Formation enthalpy at 0 K = -16.2 kJ/mol of atoms
# DOS at the Fermi energy = 0.965 states/eV/atom
# Density = 8.04 g/cm³



6.
# ReMoAs2 | Alexandria via LeMat-Bulk | GGA-PBE | relaxed
data_ReMoAs2
_chemical_formula_sum 'Re1 Mo1 As2'
_symmetry_space_group_name_H-M 'P 1'
_symmetry_Int_Tables_number 1
_symmetry_space_group_name_Hall 'P 1'
_cell_length_a 6.399
_cell_length_b 6.399
_cell_length_c 6.399
_cell_angle_alpha 150.09
_cell_angle_beta 150.07
_cell_angle_gamma 42.82
loop_
_atom_site_label
_atom_site_type_symbol
_atom_site_fract_x
_atom_site_fract_y
_atom_site_fract_z
Re1 Re 0.000 0.000 0.000
Mo1 Mo 0.751 0.251 0.500
As1 As 0.337 0.837 0.500
As2 As 0.587 0.587 0.000
# Volume = 16.3 Å³ per atom
# Formation enthalpy at 0 K = 6.8 kJ/mol of atoms
# DOS at the Fermi energy = 0.641 states/eV/atom
# Density = 11.03 g/cm³
# Offset from the most stable computed form = 26 meV/atom



7.
# CaDyInAg | Alexandria via LeMat-Bulk | GGA-PBE | relaxed
data_CaDyInAg
_chemical_formula_sum 'Ca1 Dy1 In1 Ag1'
_symmetry_space_group_name_H-M 'P 1'
_symmetry_Int_Tables_number 1
_symmetry_space_group_name_Hall 'P 1'
_cell_length_a 5.281
_cell_length_b 5.281
_cell_length_c 5.281
_cell_angle_alpha 60.00
_cell_angle_beta 60.00
_cell_angle_gamma 60.00
loop_
_atom_site_label
_atom_site_type_symbol
_atom_site_fract_x
_atom_site_fract_y
_atom_site_fract_z
Ca1 Ca 0.000 0.000 0.000
Dy1 Dy 0.500 0.500 0.500
In1 In 0.750 0.750 0.750
Ag1 Ag 0.250 0.250 0.250
# Volume = 26.0 Å³ per atom
# Formation enthalpy at 0 K = -37.5 kJ/mol of atoms
# DOS at the Fermi energy = 0.785 states/eV/atom
# Density = 6.78 g/cm³



8.
# La2TlHg4 | Alexandria via LeMat-Bulk | GGA-PBE | relaxed
data_La2TlHg4
_chemical_formula_sum 'La2 Tl1 Hg4'
_symmetry_space_group_name_H-M 'P 1'
_symmetry_Int_Tables_number 1
_symmetry_space_group_name_Hall 'P 1'
_cell_length_a 8.347
_cell_length_b 8.347
_cell_length_c 8.347
_cell_angle_alpha 37.93
_cell_angle_beta 37.93
_cell_angle_gamma 37.93
loop_
_atom_site_label
_atom_site_type_symbol
_atom_site_fract_x
_atom_site_fract_y
_atom_site_fract_z
La1 La 0.227 0.227 0.227
La2 La 0.773 0.773 0.773
Tl1 Tl 0.500 0.500 0.500
Hg1 Hg 0.072 0.072 0.072
Hg2 Hg 0.366 0.366 0.366
Hg3 Hg 0.634 0.634 0.634
Hg4 Hg 0.928 0.928 0.928
# Volume = 28.2 Å³ per atom
# Formation enthalpy at 0 K = -35.0 kJ/mol of atoms
# DOS at the Fermi energy = 0.585 states/eV/atom
# Density = 10.82 g/cm³
# Offset from the most stable computed form = 0 meV/atom



9.
# MgBeZn2 | Alexandria via LeMat-Bulk | GGA-PBE | relaxed
data_MgBeZn2
_chemical_formula_sum 'Mg1 Be1 Zn2'
_symmetry_space_group_name_H-M 'P 1'
_symmetry_Int_Tables_number 1
_symmetry_space_group_name_Hall 'P 1'
_cell_length_a 4.627
_cell_length_b 4.627
_cell_length_c 4.627
_cell_angle_alpha 129.07
_cell_angle_beta 129.07
_cell_angle_gamma 74.89
loop_
_atom_site_label
_atom_site_type_symbol
_atom_site_fract_x
_atom_site_fract_y
_atom_site_fract_z
Mg1 Mg 0.000 0.000 0.000
Be1 Be 0.500 0.500 0.000
Zn1 Zn 0.250 0.750 0.500
Zn2 Zn 0.750 0.250 0.500
# Volume = 14.5 Å³ per atom
# Formation enthalpy at 0 K = 16.0 kJ/mol of atoms
# DOS at the Fermi energy = 0.290 states/eV/atom
# Density = 4.69 g/cm³
# Offset from the most stable computed form = 57 meV/atom



10.
# K5Rb2Sn4 | Alexandria via LeMat-Bulk | GGA-PBE | relaxed
data_K5Rb2Sn4
_chemical_formula_sum 'K5 Rb2 Sn4'
_symmetry_space_group_name_H-M 'P 1'
_symmetry_Int_Tables_number 1
_symmetry_space_group_name_Hall 'P 1'
_cell_length_a 9.253
_cell_length_b 9.253
_cell_length_c 10.566
_cell_angle_alpha 118.36
_cell_angle_beta 118.36
_cell_angle_gamma 48.89
loop_
_atom_site_label
_atom_site_type_symbol
_atom_site_fract_x
_atom_site_fract_y
_atom_site_fract_z
K1 K 0.000 0.000 0.000
K2 K 0.138 0.632 0.596
K3 K 0.368 0.862 0.404
K4 K 0.632 0.138 0.596
K5 K 0.862 0.368 0.404
Rb1 Rb 0.261 0.261 0.901
Rb2 Rb 0.739 0.739 0.099
Sn1 Sn 0.236 0.236 0.256
Sn2 Sn 0.423 0.423 0.333
Sn3 Sn 0.577 0.577 0.667
Sn4 Sn 0.764 0.764 0.744
# Volume = 52.9 Å³ per atom
# Formation enthalpy at 0 K = -9.7 kJ/mol of atoms
# DOS at the Fermi energy = 0.625 states/eV/atom
# Density = 2.40 g/cm³



Results for electronic total energy: -2.41; -6.38; -6.22; -5.77; -7.56; -8.07; -3.44; -2.28; -1.80; -2.23 (in eV/atom, following the order of the records).